--- A ---
# CsInAu

Crystalline CsInAu at its relaxed geometry (PBE-GGA, the Alexandria database).

Results
**Volume**: 422 Å³/cell
**DOS(E_F)**: 0.603 states/eV per atom

```
data_CsInAu
_chemical_formula_sum 'Cs4 In4 Au4'
_symmetry_space_group_name_H-M 'C m c m'
_symmetry_Int_Tables_number 63
_symmetry_space_group_name_Hall '-C 2c 2'
_cell_length_a 4.1107
_cell_length_b 14.8554
_cell_length_c 6.9166
_cell_angle_alpha 90.00
_cell_angle_beta 90.00
_cell_angle_gamma 90.00
loop_
_atom_site_label
_atom_site_fract_x
_atom_site_fract_y
_atom_site_fract_z
Cs1 0.0000 0.1867 0.2500
In1 0.0000 0.0726 0.7500
Au1 0.0000 0.5000 0.0000
```

--- B ---
# CsInAu

Crystalline CsInAu at its relaxed geometry (PBE-GGA, the Alexandria database).

Results
**Volume**: 445 Å³/cell
**DOS(E_F)**: 0.454 states/eV per atom

```
data_CsInAu
_chemical_formula_sum 'Cs4 In4 Au4'
_symmetry_space_group_name_H-M 'C 1 m 1'
_symmetry_Int_Tables_number 8
_cell_length_a 11.6220
_cell_length_b 7.8156
_cell_length_c 5.5910
_cell_angle_alpha 90.00
_cell_angle_beta 118.70
_cell_angle_gamma 90.00
loop_
_symmetry_equiv_pos_as_xyz
'x,y,z'
'x,-y,z'
'x+1/2,y+1/2,z'
'x+1/2,-y+1/2,z'
loop_
_atom_site_label
_atom_site_fract_x
_atom_site_fract_y
_atom_site_fract_z
Cs1 0.0000 0.0000 0.0000
Cs2 0.2173 0.5000 0.2171
In1 0.3027 0.0000 0.8026
In2 0.4163 0.0000 0.4151
Au1 0.1084 0.2489 0.6083
```

--- C ---
# CsInAu

Crystalline CsInAu at its relaxed geometry (PBE-GGA, the Alexandria database).

Results
**Volume**: 461 Å³/cell
**DOS(E_F)**: 0.552 states/eV per atom

```
data_CsInAu
_chemical_formula_sum 'Cs4 In4 Au4'
_symmetry_space_group_name_H-M 'P 21 3'
_symmetry_Int_Tables_number 198
_symmetry_space_group_name_Hall 'P 2ac 2ab 3'
_cell_length_a 7.7258
_cell_length_b 7.7258
_cell_length_c 7.7258
_cell_angle_alpha 90.00
_cell_angle_beta 90.00
_cell_angle_gamma 90.00
loop_
_atom_site_label
_atom_site_fract_x
_atom_site_fract_y
_atom_site_fract_z
Cs1 0.1465 0.1465 0.1465
In1 0.1487 0.3513 0.6487
Au1 0.0926 0.5926 0.9074
```

Which structure is the least stable? The one labeled A.